# 1
5
Lattice="-3.999 -2.354 2.540 0.561 -4.251 -3.057 3.401 -2.042 3.463" Properties=species:S:1:pos:R:3 comment="Sr2AcSnN | Alexandria via LeMat-Bulk | PBE-GGA | optimized geometry" e_form_raw_ev_per_atom=-0.81 pbc="T T T"
Sr 1.701 -1.021 1.731
Sr 0.280 -2.125 -1.529
Ac -1.999 -1.177 1.270
Sn -0.018 -4.323 1.473
N 0.000 0.000 0.000

# 2
15
Lattice="-5.139 5.817 -4.512 3.714 -6.965 -4.276 -7.515 -1.939 6.061" Properties=species:S:1:pos:R:3 comment="K3Tb3ThTe8 | Alexandria via LeMat-Bulk | PBE-GGA | optimized geometry" e_form_raw_ev_per_atom=-1.36 pbc="T T T"
K 0.000 0.000 0.000
K 1.857 -3.482 -2.138
K -0.713 -0.574 -4.394
Tb -6.327 1.939 0.774
Tb -4.470 -1.543 -1.364
Tb -1.900 -4.452 0.892
Th -3.758 -0.969 3.030
Te -1.589 -2.707 -1.679
Te -7.351 -0.380 -1.049
Te -4.157 0.224 -3.908
Te -4.783 -3.311 1.180
Te -5.990 3.661 -1.798
Te -2.951 -6.747 -0.930
Te -3.454 0.791 0.428
Te -5.486 -3.877 -3.156

# 3
4
Lattice="3.652 0.000 0.000 0.000 3.652 0.000 0.000 0.000 8.027" Properties=species:S:1:pos:R:3 comment="NaCeHg2 | Alexandria via LeMat-Bulk | PBE-GGA | optimized geometry" ef_ev_per_fu=-1.01 pbc="T T T"
Na 1.826 1.826 4.013
Hg 0.000 0.000 6.005
Hg 0.000 0.000 2.022
Ce 1.826 1.826 0.000

# 4
5
Lattice="5.850 0.000 0.000 0.000 5.850 0.000 0.000 0.000 4.761" Properties=species:S:1:pos:R:3 comment="RbCoSbI2 | Alexandria via LeMat-Bulk | PBE-GGA | optimized geometry" e_form_raw_ev_per_atom=-0.24 pbc="T T T"
I 0.000 2.925 0.000
I 2.925 0.000 0.000
Sb 0.000 0.000 2.381
Co 0.000 0.000 0.000
Rb 2.925 2.925 2.381

# 5
12
Lattice="-0.110 -2.337 2.787 -2.803 -4.124 -3.569 7.645 -3.163 -2.351" Properties=species:S:1:pos:R:3 comment="UP2PtRh2 | Alexandria via LeMat-Bulk | PBE-GGA | optimized geometry" ef_ev_per_fu=-3.99 pbc="T T T"
U 0.621 -5.438 -4.536
U 2.928 -3.751 -3.030
P 6.144 -3.895 -3.023
P 1.585 -3.240 -0.279
P -1.336 -3.442 -2.939
P 3.071 -6.496 -2.951
Pt 4.717 -3.988 -0.783
Pt 0.520 -4.893 -1.708
Rh 0.752 -1.537 1.116
Rh 0.079 -2.035 -1.703
Rh 5.345 -6.079 -2.512
Rh 4.040 -6.315 -5.137

# 6
12
Lattice="-2.008 -6.492 -0.762 6.081 -1.493 -3.304 4.626 -2.013 4.967" Properties=species:S:1:pos:R:3 comment="Ce3PuIn2 | Alexandria via LeMat-Bulk | PBE-GGA | optimized geometry" ef_ev_per_fu=-0.88 pbc="T T T"
Ce 4.554 -3.483 2.335
Ce 4.146 -6.516 -1.434
Ce 6.932 -9.420 0.627
Ce 0.763 -3.825 -0.106
Ce 7.936 -6.174 1.008
Ce 1.768 -0.579 0.274
Pu 4.565 -6.366 -3.821
Pu 4.134 -3.633 4.722
In 2.244 -6.262 1.411
In 3.728 -2.845 -0.933
In 4.972 -7.154 1.835
In 6.455 -3.737 -0.510

# 7
10
Lattice="6.749 0.000 0.000 0.000 8.082 1.424 0.000 -1.091 6.118" Properties=species:S:1:pos:R:3 comment="TbNd2SmHo | Alexandria via LeMat-Bulk | PBE-GGA | optimized geometry" ef_ev_per_fu=1.33 pbc="T T T"
Tb 3.914 -0.273 1.530
Tb 2.835 -0.818 4.589
Nd 4.682 4.801 5.584
Nd 4.682 1.644 5.017
Nd 2.067 5.347 2.525
Nd 2.067 2.189 1.958
Sm 0.000 0.000 0.000
Sm 0.000 -0.546 3.059
Ho 1.068 3.222 5.301
Ho 5.681 3.768 2.241

# 8
8
Lattice="-3.598 0.752 0.271 -0.525 -4.232 4.764 1.569 6.415 3.019" Properties=species:S:1:pos:R:3 comment="Cs2PrPuO4 | Alexandria via LeMat-Bulk | PBE-GGA | optimized geometry" e_form_raw_ev_per_atom=-2.37 pbc="T T T"
Cs -1.014 3.584 1.645
Cs 0.522 1.092 3.891
Pr -2.062 -1.740 2.518
Pu 0.000 0.000 0.000
O -1.653 0.533 1.630
O -0.901 2.403 6.424
O 1.166 4.210 3.795
O -0.123 -2.027 3.988